1.
This record from Alexandria via LeMat-Bulk describes a relaxed Y2AgI8 crystal. The functional is PBE.

The density is 3.56 g/cm³. Its density of states at the Fermi level is 13.33 states/eV/cell. The uncorrected formation energy comes out at -0.885 eV/atom.

The structure belongs to space group C2/m (No. 12); the cell edges are 14.3873, 10.4379 and 8.1134 Å and the angles 90.00°, 94.89° and 90.00°. The inequivalent atoms are Y at (0.2135, 0.0000, 0.3309), Ag at (0.0000, 0.0000, 0.0000), I at (0.0984, 0.5000, 0.7395), I at (0.1064, 0.2055, 0.1572) and I at (0.1977, 0.0000, 0.6819).

---

2.
This record from Alexandria via LeMat-Bulk describes a relaxed YAgI4 crystal. The functional is PBE.

The density is 4.53 g/cm³. Its density of states at the Fermi level is 0.00 states/eV/cell. The uncorrected formation energy comes out at -0.989 eV/atom.

The structure belongs to space group C2/m (No. 12); the cell edges are 16.9270, 4.3665 and 7.7533 Å and the angles 90.00°, 115.68° and 90.00°. The inequivalent atoms are Y at (0.0000, 0.0000, 0.0000), Ag at (0.0000, 0.5000, 0.5000), I at (0.1046, 0.0000, 0.4305) and I at (0.1226, 0.5000, 0.9766).

---

3.
This record from Alexandria via LeMat-Bulk describes a relaxed Y2AgI crystal. The functional is PBE.

The density is 5.81 g/cm³. Its density of states at the Fermi level is 24.06 states/eV/cell. The uncorrected formation energy comes out at -0.185 eV/atom.

The structure belongs to space group I-42d (No. 122); the cell edges are 8.1182, 8.1182 and 7.1622 Å and the angles 90.00°, 90.00° and 90.00°. The inequivalent atoms are Y at (0.2342, 0.7500, 0.1250), Ag at (0.0000, 0.0000, 0.0000) and I at (0.0000, 0.0000, 0.5000).

---

4.
This record from Alexandria via LeMat-Bulk describes a relaxed YAg3I crystal. The functional is PBE.

The density is 4.99 g/cm³. Its density of states at the Fermi level is 6.31 states/eV/cell. The uncorrected formation energy comes out at 0.784 eV/atom.

The structure belongs to space group Pm-3m (No. 221); the cell edges are 5.6403, 5.6403 and 5.6403 Å and the angles 90.00°, 90.00° and 90.00°. The inequivalent atoms are Y at (0.0000, 0.0000, 0.0000), Ag at (0.0000, 0.0000, 0.5000) and I at (0.5000, 0.5000, 0.5000).

---

5.
This record from Alexandria via LeMat-Bulk describes a relaxed YAg3I crystal. The functional is PBE.

The density is 5.74 g/cm³. Its density of states at the Fermi level is 3.80 states/eV/cell. The uncorrected formation energy comes out at 0.769 eV/atom.

The structure belongs to space group Pm-3m (No. 221); the cell edges are 5.3823, 5.3823 and 5.3823 Å and the angles 90.00°, 90.00° and 90.00°. The inequivalent atoms are Y at (0.0000, 0.0000, 0.0000), Ag at (0.0000, 0.5000, 0.5000) and I at (0.5000, 0.5000, 0.5000).

---

6.
This record from Alexandria via LeMat-Bulk describes a relaxed YAgI4 crystal. The functional is PBE.

The density is 4.57 g/cm³. Its density of states at the Fermi level is 0.00 states/eV/cell. The uncorrected formation energy comes out at -0.990 eV/atom.

The structure belongs to space group P2/m (No. 10); the cell edges are 7.5956, 4.3642 and 7.7381 Å and the angles 90.00°, 93.87° and 90.00°. The inequivalent atoms are Y at (0.0000, 0.0000, 0.0000), Ag at (0.0000, 0.5000, 0.5000), I at (0.2122, 0.0000, 0.6820) and I at (0.2458, 0.5000, 0.1574).

---

7.
This record from Alexandria via LeMat-Bulk describes a relaxed Y2AgI crystal. The functional is PBE.

The density is 6.46 g/cm³. Its density of states at the Fermi level is 19.63 states/eV/cell. The uncorrected formation energy comes out at -0.277 eV/atom.

The structure belongs to space group Fm-3m (No. 225); the cell edges are 7.5150, 7.5150 and 7.5150 Å and the angles 90.00°, 90.00° and 90.00°. The inequivalent atoms are Y at (0.2500, 0.2500, 0.2500), Ag at (0.0000, 0.0000, 0.0000) and I at (0.0000, 0.0000, 0.5000).

---

8.
This record from Alexandria via LeMat-Bulk describes a relaxed Zn2AgI crystal. The functional is PBE.

The density is 6.00 g/cm³. Its density of states at the Fermi level is 2.99 states/eV/cell. The uncorrected formation energy comes out at -0.058 eV/atom.

The structure belongs to space group P1 (No. 1); the cell edges are 4.4193, 6.8447 and 7.3956 Å and the angles 82.74°, 72.73° and 71.42°. The inequivalent atoms are Zn at (0.0000, 0.0000, 0.0000), Zn at (0.1377, 0.3900, 0.3372), Zn at (0.3988, 0.0035, 0.1973), Zn at (0.5391, 0.1024, 0.8212), Ag at (0.1356, 0.1043, 0.6241), Ag at (0.7478, 0.1256, 0.3779), I at (0.2401, 0.5356, 0.9777) and I at (0.4494, 0.6560, 0.4487).

---

9.
This record from Alexandria via LeMat-Bulk describes a relaxed Zn2AgI crystal. The functional is PBE.

The density is 5.74 g/cm³. Its density of states at the Fermi level is 1.18 states/eV/cell. The uncorrected formation energy comes out at -0.018 eV/atom.

The structure belongs to space group P1 (No. 1); the cell edges are 4.4103, 4.4968 and 6.3508 Å and the angles 103.39°, 90.09° and 119.36°. The inequivalent atoms are Zn at (0.0000, 0.0000, 0.0000), Zn at (0.3181, 0.6364, 0.9181), Ag at (0.6902, 0.3801, 0.0945) and I at (0.2311, 0.4622, 0.4761).

---

10.
This record from Alexandria via LeMat-Bulk describes a relaxed Zn2AgI crystal. The functional is PBE.

The density is 5.59 g/cm³. Its density of states at the Fermi level is 2.11 states/eV/cell. The uncorrected formation energy comes out at -0.043 eV/atom.

The structure belongs to space group P1 (No. 1); the cell edges are 4.4835, 7.0732 and 7.2510 Å and the angles 83.77°, 89.57° and 71.78°. The inequivalent atoms are Zn at (0.0000, 0.0000, 0.0000), Zn at (0.1951, 0.6167, 0.9530), Zn at (0.5947, 0.8031, 0.0817), Zn at (0.8007, 0.4028, 0.9846), Ag at (0.3985, 0.2040, 0.0247), Ag at (0.6479, 0.7192, 0.7189), I at (0.0215, 0.9768, 0.5925) and I at (0.7407, 0.5174, 0.3723).

---

11.
This record from Alexandria via LeMat-Bulk describes a relaxed Zn2AgI crystal. The functional is PBE.

The density is 5.94 g/cm³. Its density of states at the Fermi level is 2.51 states/eV/cell. The uncorrected formation energy comes out at -0.049 eV/atom.

The structure belongs to space group P1 (No. 1); the cell edges are 4.5225, 6.6807 and 6.7718 Å and the angles 93.15°, 90.06° and 90.02°. The inequivalent atoms are Zn at (0.0000, 0.0000, 0.0000), Zn at (0.0002, 0.4113, 0.9927), Zn at (0.0009, 0.7243, 0.2634), Zn at (0.5007, 0.9090, 0.1777), Ag at (0.4998, 0.1880, 0.9071), Ag at (0.5005, 0.5094, 0.2112), I at (0.4980, 0.1963, 0.4915) and I at (0.9985, 0.6999, 0.6845).

---

12.
This record from Alexandria via LeMat-Bulk describes a relaxed Zn2AgI crystal. The functional is PBE.

The density is 5.85 g/cm³. Its density of states at the Fermi level is 2.04 states/eV/cell. The uncorrected formation energy comes out at -0.055 eV/atom.

The structure belongs to space group P1 (No. 1); the cell edges are 4.1366, 4.5999 and 12.1765 Å and the angles 95.36°, 90.24° and 115.66°. The inequivalent atoms are Zn at (0.0000, 0.0000, 0.0000), Zn at (0.0842, 0.5029, 0.8883), Zn at (0.2722, 0.6273, 0.0878), Zn at (0.5950, 0.2634, 0.1389), Ag at (0.2054, 0.5376, 0.3188), Ag at (0.8940, 0.8936, 0.2130), I at (0.5585, 0.4386, 0.7452) and I at (0.8870, 0.9672, 0.4483).

---

13.
This record from Alexandria via LeMat-Bulk describes a relaxed ZnAg3I crystal. The functional is PBE.

The density is 6.75 g/cm³. Its density of states at the Fermi level is 2.17 states/eV/cell. The uncorrected formation energy comes out at 0.428 eV/atom.

The structure belongs to space group Pm-3m (No. 221); the cell edges are 5.0261, 5.0261 and 5.0261 Å and the angles 90.00°, 90.00° and 90.00°. The inequivalent atoms are Zn at (0.0000, 0.0000, 0.0000), Ag at (0.0000, 0.0000, 0.5000) and I at (0.5000, 0.5000, 0.5000).

---

14.
This record from Alexandria via LeMat-Bulk describes a relaxed Zn2Ag2I crystal. The functional is PBE.

The density is 7.25 g/cm³. Its density of states at the Fermi level is 3.86 states/eV/cell. The uncorrected formation energy comes out at 0.089 eV/atom.

The structure belongs to space group I4/mmm (No. 139); the cell edges are 3.9699, 3.9699 and 13.7551 Å and the angles 90.00°, 90.00° and 90.00°. The inequivalent atoms are Zn at (0.0000, 0.5000, 0.2500), Ag at (0.0000, 0.0000, 0.1147) and I at (0.0000, 0.0000, 0.5000).

---

15.
This record from Alexandria via LeMat-Bulk describes a relaxed Zn2Ag2I7 crystal. The functional is PBE.

The density is 4.53 g/cm³. Its density of states at the Fermi level is 38.94 states/eV/cell. The uncorrected formation energy comes out at -0.321 eV/atom.

The structure belongs to space group C2/c (No. 15); the cell edges are 10.6880, 12.2593 and 14.5458 Å and the angles 90.00°, 108.29° and 90.00°. The inequivalent atoms are Zn at (0.1513, 0.1351, 0.4334), Ag at (0.2069, 0.2073, 0.8028), I at (0.0000, 0.3487, 0.7500), I at (0.0980, 0.1204, 0.0979), I at (0.1952, 0.4833, 0.0994) and I at (0.2115, 0.3285, 0.3717).

---

16.
This record from Alexandria via LeMat-Bulk describes a relaxed Zn2AgI crystal. The functional is PBE.

The density is 5.90 g/cm³. Its density of states at the Fermi level is 0.98 states/eV/cell. The uncorrected formation energy comes out at 0.058 eV/atom.

The structure belongs to space group P1 (No. 1); the cell edges are 3.9245, 4.0453 and 6.9153 Å and the angles 106.42°, 101.39° and 90.70°. The inequivalent atoms are Zn at (0.0000, 0.0000, 0.0000), Zn at (0.4940, 0.5045, 0.0130), Ag at (0.6044, 0.1342, 0.2801) and I at (0.6115, 0.7847, 0.5921).

---

17.
This record from Alexandria via LeMat-Bulk describes a relaxed Zn2AgI crystal. The functional is PBE.

The density is 6.34 g/cm³. Its density of states at the Fermi level is 1.74 states/eV/cell. The uncorrected formation energy comes out at 0.022 eV/atom.

The structure belongs to space group P1 (No. 1); the cell edges are 4.3131, 6.2163 and 7.4599 Å and the angles 91.53°, 106.67° and 90.02°. The inequivalent atoms are Zn at (0.0000, 0.0000, 0.0000), Zn at (0.0450, 0.4644, 0.0908), Zn at (0.5455, 0.2272, 0.0911), Zn at (0.6688, 0.5496, 0.3419), Ag at (0.3752, 0.0502, 0.7473), Ag at (0.5031, 0.7229, 0.0075), I at (0.2991, 0.4929, 0.6019) and I at (0.7285, 0.9870, 0.4547).

---

18.
This record from Alexandria via LeMat-Bulk describes a relaxed ZnAg3I crystal. The functional is PBE.

The density is 4.92 g/cm³. Its density of states at the Fermi level is 2.25 states/eV/cell. The uncorrected formation energy comes out at 0.798 eV/atom.

The structure belongs to space group Pm-3m (No. 221); the cell edges are 5.5852, 5.5852 and 5.5852 Å and the angles 90.00°, 90.00° and 90.00°. The inequivalent atoms are Zn at (0.0000, 0.0000, 0.0000), Ag at (0.0000, 0.5000, 0.5000) and I at (0.5000, 0.5000, 0.5000).

---

19.
This record from Alexandria via LeMat-Bulk describes a relaxed Zn3AgI crystal. The functional is PBE.

The density is 5.40 g/cm³. Its density of states at the Fermi level is 1.14 states/eV/cell. The uncorrected formation energy comes out at 0.188 eV/atom.

The structure belongs to space group Pm-3m (No. 221); the cell edges are 5.0980, 5.0980 and 5.0980 Å and the angles 90.00°, 90.00° and 90.00°. The inequivalent atoms are Zn at (0.0000, 0.0000, 0.5000), Ag at (0.0000, 0.0000, 0.0000) and I at (0.5000, 0.5000, 0.5000).

---

20.
This record from Alexandria via LeMat-Bulk describes a relaxed Zn2AgI crystal. The functional is PBE.

The density is 5.94 g/cm³. Its density of states at the Fermi level is 3.12 states/eV/cell. The uncorrected formation energy comes out at -0.045 eV/atom.

The structure belongs to space group Cm (No. 8); the cell edges are 18.2755, 4.4309 and 5.0875 Å and the angles 90.00°, 96.93° and 90.00°. The inequivalent atoms are Zn at (0.0000, 0.0000, 0.0000), Zn at (0.0012, 0.5000, 0.7252), Zn at (0.1197, 0.5000, 0.5510), Zn at (0.4369, 0.5000, 0.4934), Ag at (0.3535, 0.0000, 0.6269), Ag at (0.4444, 0.0000, 0.1949), I at (0.1481, 0.0000, 0.2241) and I at (0.2690, 0.5000, 0.7908).

---

21.
This record from Alexandria via LeMat-Bulk describes a relaxed Zn2AgI crystal. The functional is PBE.

The density is 5.94 g/cm³. Its density of states at the Fermi level is 1.09 states/eV/cell. The uncorrected formation energy comes out at -0.070 eV/atom.

The structure belongs to space group P1 (No. 1); the cell edges are 4.2118, 4.8059 and 11.4944 Å and the angles 79.03°, 90.00° and 64.04°. The inequivalent atoms are Zn at (0.0000, 0.0000, 0.0000), Zn at (0.1771, 0.6466, 0.2130), Zn at (0.4440, 0.1098, 0.1324), Zn at (0.6875, 0.6232, 0.0406), Ag at (0.6096, 0.7749, 0.3729), Ag at (0.8802, 0.2381, 0.2604), I at (0.7544, 0.4888, 0.8187) and I at (0.9617, 0.0683, 0.5154).

---

22.
This record from Alexandria via LeMat-Bulk describes a relaxed Zn2AgI crystal. The functional is PBE.

The density is 6.00 g/cm³. Its density of states at the Fermi level is 3.41 states/eV/cell. The uncorrected formation energy comes out at -0.048 eV/atom.

The structure belongs to space group P1 (No. 1); the cell edges are 4.4654, 6.9511 and 7.2333 Å and the angles 87.45°, 72.10° and 71.46°. The inequivalent atoms are Zn at (0.0000, 0.0000, 0.0000), Zn at (0.0085, 0.2791, 0.7076), Zn at (0.3988, 0.0058, 0.1983), Zn at (0.8551, 0.9146, 0.3741), Ag at (0.2713, 0.8864, 0.5713), Ag at (0.5834, 0.0418, 0.7930), I at (0.1163, 0.4231, 0.3526) and I at (0.3068, 0.5565, 0.8366).

---

23.
This record from Alexandria via LeMat-Bulk describes a relaxed Zn2AgI crystal. The functional is PBE.

The density is 5.28 g/cm³. Its density of states at the Fermi level is 0.63 states/eV/cell. The uncorrected formation energy comes out at 0.156 eV/atom.

The structure belongs to space group I-42d (No. 122); the cell edges are 7.0878, 7.0878 and 9.1558 Å and the angles 90.00°, 90.00° and 90.00°. The inequivalent atoms are Zn at (0.2105, 0.2500, 0.1250), Ag at (0.0000, 0.0000, 0.0000) and I at (0.0000, 0.0000, 0.5000).

---

24.
This record from Alexandria via LeMat-Bulk describes a relaxed Zn2Ag2I crystal. The functional is PBE.

The density is 7.22 g/cm³. Its density of states at the Fermi level is 3.23 states/eV/cell. The uncorrected formation energy comes out at 0.137 eV/atom.

The structure belongs to space group I4/mmm (No. 139); the cell edges are 4.0372, 4.0372 and 13.3592 Å and the angles 90.00°, 90.00° and 90.00°. The inequivalent atoms are Zn at (0.0000, 0.0000, 0.1062), Ag at (0.0000, 0.5000, 0.2500) and I at (0.0000, 0.0000, 0.5000).